# Nd3ErPb2C

Crystalline Nd3ErPb2C at its relaxed geometry (PBE, the Alexandria database).

Lattice parameters (Å, degrees): 4.8462 5.0167 16.6890 90.00 90.00 90.00
Sites, in units of the cell vectors:
1 Nd 0.0000 0.0000 0.0000
2 Nd 0.0000 0.5000 0.1595
3 Nd 0.0000 0.5000 0.8405
4 Nd 0.5000 0.0000 0.3405
5 Nd 0.5000 0.0000 0.6595
6 Nd 0.5000 0.5000 0.5000
7 Er 0.0000 0.0000 0.5000
8 Er 0.5000 0.5000 0.0000
9 Pb 0.0000 0.5000 0.3603
10 Pb 0.0000 0.5000 0.6397
11 Pb 0.5000 0.0000 0.1397
12 Pb 0.5000 0.0000 0.8603
13 C 0.0000 0.5000 0.0000
14 C 0.5000 0.0000 0.5000

Values from the calculation:
energy of formation from the pure elements = -0.510 eV/atom
DOS(E_F) = 1.05 states/eV/f.u.
magnetic moment = 0.000 Bohr magnetons per cell

***

# Pu2H2S

Crystalline Pu2H2S at its relaxed geometry (PBE, the Alexandria database).

Lattice parameters (Å, degrees): 5.7235 5.7235 6.6341 121.69 121.69 71.12
Sites, in units of the cell vectors:
1 Pu 0.0066 0.6371 0.8066
2 Pu 0.3629 0.9934 0.6934
3 Pu 0.6371 0.0066 0.3066
4 Pu 0.9934 0.3629 0.1934
5 H 0.0068 0.2226 0.4703
6 H 0.2226 0.0068 0.9703
7 H 0.7774 0.9932 0.0297
8 H 0.9932 0.7774 0.5297
9 S 0.4597 0.5403 0.2500
10 S 0.5403 0.4597 0.7500

Values from the calculation:
ΔE to the lowest computed polymorph = 0.0 meV/atom
DOS(E_F) = 14.49 states/eV/f.u.
magnetic moment = 23.909 Bohr magnetons per cell

***

# ScBeW

Crystalline ScBeW at its relaxed geometry (PBE, the Alexandria database).

Lattice parameters (Å, degrees): 3.3603 3.2304 17.5923 90.00 90.00 90.00
Sites, in units of the cell vectors:
1 Sc 0.0000 0.0000 0.0000
2 Sc 0.0000 0.5000 0.5000
3 Sc 0.5000 0.0000 0.3578
4 Sc 0.5000 0.5000 0.8578
5 Be 0.0000 0.0000 0.6237
6 Be 0.0000 0.5000 0.1237
7 Be 0.5000 0.0000 0.5608
8 Be 0.5000 0.5000 0.0608
9 W 0.0000 0.0000 0.7607
10 W 0.0000 0.5000 0.2607
11 W 0.5000 0.0000 0.1751
12 W 0.5000 0.5000 0.6751

Values from the calculation:
ΔE to the lowest computed polymorph = 0.0 meV/atom
energy of formation from the pure elements = 0.022 eV/atom
DOS(E_F) = 1.33 states/eV/f.u.
magnetic moment = 0.000 Bohr magnetons per cell